[1]
AcCe5Sn3 GGA-PBE relaxed; total energy = -5.5401 eV per atom; DFT formation energy = -0.45 eV/atom
1.0
6.7624 0.0000 0.0000
0.0000 9.6107 0.0000
0.0000 -4.8054 8.3211
Ac Ce Sn
2 10 6
direct
0.0000 0.0000 0.0000 Ac
0.5000 0.0000 0.0000 Ac
0.0000 0.6666 0.3332 Ce
0.5000 0.3334 0.6668 Ce
0.0000 0.3334 0.6668 Ce
0.5000 0.6666 0.3332 Ce
0.7500 0.6620 0.6619 Ce
0.7500 0.0001 0.3381 Ce
0.7500 0.3380 0.0000 Ce
0.2500 0.3380 0.3381 Ce
0.2500 0.9999 0.6619 Ce
0.2500 0.6620 0.0000 Ce
0.7500 0.3353 0.3354 Sn
0.7500 0.9999 0.6646 Sn
0.7500 0.6646 0.0000 Sn
0.2500 0.6647 0.6646 Sn
0.2500 0.0001 0.3354 Sn
0.2500 0.3354 0.0000 Sn


[2]
TcAg2As GGA-PBE relaxed; total energy = -4.7290 eV per atom; DFT formation energy = 0.45 eV/atom
1.0
4.5308 -0.0256 0.0036
0.0197 4.5311 0.0036
-2.2728 -2.2502 3.2123
As Tc Ag
1 1 2
direct
0.5006 0.4994 0.0000 As
0.7493 0.2507 0.5000 Tc
0.0000 0.0000 0.0000 Ag
0.2501 0.7499 0.5000 Ag


Q: Which value of DFT formation energy does entry 1 give?
A: -0.45 eV/atom


Q: The lowest total energy belongs to which entry?
A: AcCe5Sn3


Q: total energy of number 2 (TcAg2As)?
A: -4.7290 eV per atom


Q: Among the records above, which one has the highest total energy?
A: TcAg2As